(1)
# Tm4Pt7Au

A relaxed structure of Tm4Pt7Au (PBE-GGA, Alexandria via LeMat-Bulk).

Summary:
symmetry: C2/m, No. 12
E_form: -10.46 eV per formula unit
energy above the most stable polymorph in this dataset: 193 meV/atom

Unit cell a=5.1983 b=9.2847 c=5.9309 alpha=81.53 beta=64.01 gamma=73.74
Fractional coordinates of all 12 atoms:
Pt 0.5000 0.0000 0.0000
Tm 0.5955 0.2135 0.5955
Tm 0.4045 0.7865 0.4045
Pt 0.0746 0.6886 0.1622
Tm 0.2141 0.3628 0.2090
Tm 0.7859 0.6372 0.7910
Pt 0.7895 0.9035 0.5175
Pt 0.3653 0.5275 0.7420
Au 0.0000 0.0000 0.0000
Pt 0.2105 0.0965 0.4825
Pt 0.6347 0.4725 0.2580
Pt 0.9254 0.3114 0.8378

(2)
# Tm3Pt5Au

A relaxed structure of Tm3Pt5Au (PBE-GGA, Alexandria via LeMat-Bulk).

Summary:
symmetry: P6_3/mcm, No. 193
E_form: -9.49 eV per formula unit

Unit cell a=5.6776 b=8.3431 c=8.3429 alpha=120.00 beta=90.00 gamma=90.00
Fractional coordinates of all 18 atoms:
Au 0.5000 0.0000 0.0000
Pt 0.0000 0.6667 0.3333
Au 0.0000 0.0000 0.0000
Tm 0.2500 0.0001 0.3537
Tm 0.2500 0.6464 0.6463
Pt 0.2500 0.3151 0.3151
Tm 0.7500 0.3536 0.3537
Tm 0.7500 0.9999 0.6463
Pt 0.7500 0.9999 0.3151
Pt 0.5000 0.3333 0.6667
Tm 0.7500 0.6463 0.0000
Pt 0.7500 0.3152 0.0000
Pt 0.0000 0.3333 0.6667
Pt 0.5000 0.6667 0.3333
Pt 0.2500 0.6848 0.0000
Pt 0.7500 0.6849 0.6849
Pt 0.2500 0.0001 0.6849
Tm 0.2500 0.3537 0.0000

(3)
# Tm4PtAu

A relaxed structure of Tm4PtAu (PBE-GGA, Alexandria via LeMat-Bulk).

Summary:
symmetry: P2_1/c, No. 14
E_form: -3.94 eV per formula unit

Unit cell a=6.9008 b=6.9234 c=6.9596 alpha=90.00 beta=92.21 gamma=90.00
Fractional coordinates of all 12 atoms:
Au 0.5000 0.5000 0.0000
Pt 0.0000 0.5000 0.5000
Tm 0.3290 0.3400 0.3456
Pt 0.5000 0.0000 0.5000
Tm 0.8290 0.1600 0.3456
Tm 0.6710 0.6600 0.6544
Tm 0.6458 0.1557 0.8351
Tm 0.1710 0.8400 0.6544
Au 0.0000 0.0000 0.0000
Tm 0.3542 0.8443 0.1649
Tm 0.8542 0.6557 0.1649
Tm 0.1458 0.3443 0.8351

(4)
# TmPtAu2

A relaxed structure of TmPtAu2 (PBE-GGA, Alexandria via LeMat-Bulk).

Summary:
symmetry: Fm-3m, No. 225
E_form: -2.78 eV per formula unit

Unit cell a=4.7701 b=4.7701 c=4.7701 alpha=60.00 beta=60.00 gamma=60.00
Fractional coordinates of all 4 atoms:
Au 0.7500 0.7500 0.7500
Tm 0.0000 0.0000 0.0000
Pt 0.5000 0.5000 0.5000
Au 0.2500 0.2500 0.2500

Question: Which of these has the highest E_form?
Answer: TmPtAu2

Question: Look up the E_form of the second one.
Answer: -9.49 eV per formula unit

Question: E_form of number 1 (Tm4Pt7Au)?
Answer: -10.46 eV per formula unit

Question: What is the E_form in the second record?
Answer: -9.49 eV per formula unit